(1)
DFT (GGA-PBE) results for Zn2MoRh after structural relaxation.

Cell lengths 8.804, 8.804, 8.804 Å; angles 18.35, 18.35, 18.35 degrees
Last column: magnetic moment on the atom in μB.
Element x y z (fractional)
Mo: 0.250 0.250 0.250  0.09
Rh: 0.750 0.750 0.750  0.28
Zn: 0.004 0.004 0.004  0.00
Zn: 0.496 0.496 0.496  0.00

Uncorrected energy in eV/atom: -5.16
Density of states at the Fermi level in states/eV per cell: 3.99
Total magnetization in μB per cell: 0.4
Formation energy in eV per atom: 0.025
SG: R-3m (166)

***

(2)
DFT (GGA-PBE) results for Pb2AuCl2O2 after structural relaxation.

Cell lengths 3.965, 6.267, 7.170 Å; angles 69.22, 73.95, 71.56 degrees
Last column: magnetic moment on the atom in μB.
Element x y z (fractional)
Pb: 0.190 0.377 0.243  0.01
Pb: 0.810 0.623 0.757  0.01
Au: 0.000 0.000 0.000  0.36
Cl: 0.565 0.190 0.680  0.11
Cl: 0.435 0.810 0.320  0.11
O: 0.192 0.685 0.931  0.06
O: 0.808 0.315 0.069  0.06

Uncorrected energy in eV/atom: -4.25
Density of states at the Fermi level in states/eV per cell: 3.39
Uncorrected formation energy in meV/atom: -781
Total magnetization in μB per cell: 0.8
SG: C2/m (12)

***

(3)
DFT (GGA-PBE) results for Ni2RuBr after structural relaxation.

Cell lengths 4.199, 4.199, 6.225 Å; angles 79.24, 79.24, 40.93 degrees
Element x y z (fractional)
Br: 0.134 0.134 0.254
Ni: 0.048 0.048 0.909
Ni: 0.788 0.788 0.743
Ru: 0.530 0.530 0.594

Uncorrected energy in eV/atom: -5.11
Density of states at the Fermi level in states/eV per cell: 5.80
Uncorrected formation energy in meV/atom: 522
Total magnetization in μB per cell: 0.0
SG: Cm (8)

***

(4)
DFT (GGA-PBE) results for RbBPb after structural relaxation.

Cell lengths 4.252, 7.306, 7.384 Å; angles 114.41, 78.52, 100.66 degrees
Element x y z (fractional)
Pb: 0.288 0.218 0.565
Pb: 0.015 0.644 0.685
B: 0.122 0.416 0.352
B: 0.820 0.287 0.416
Rb: 0.608 0.147 0.978
Rb: 0.749 0.728 0.261

Uncorrected energy in eV/atom: -3.32
Density of states at the Fermi level in states/eV per cell: 0.01
Total magnetization in μB per cell: 0.0
Formation energy in eV per atom: 0.463
SG: P1 (1)